1.
Sr6Co4O13 | meta-GGA SCAN | single point on PBEsol structure

Computed properties:
As for the formation energy (no corrections): -2.237 eV per atom. The value obtained for the total magnetic moment is 0.1 μB/f.u. The theoretical density is 5.668 g/cm³.

Cell lengths 5.377, 5.373, 10.191 Å; angles 90.00, 105.30, 90.00 degrees
Fractional positions:
O: 0.649 0.738 0.822
O: 0.173 0.262 0.822
O: 0.351 0.262 0.178
O: 0.173 0.738 0.822
O: 0.000 0.000 0.000
O: 0.810 0.000 0.620
O: 0.351 0.738 0.178
O: 0.827 0.262 0.178
O: 0.649 0.262 0.822
O: 0.301 0.500 0.602
O: 0.699 0.500 0.398
O: 0.827 0.738 0.178
O: 0.190 0.000 0.380
Sr: 0.178 0.500 0.356
Sr: 0.500 0.000 0.000
Sr: 0.000 0.500 0.000
Sr: 0.319 0.000 0.638
Sr: 0.681 0.000 0.362
Sr: 0.822 0.500 0.644
Co: 0.906 0.000 0.811
Co: 0.391 0.500 0.782
Co: 0.094 0.000 0.189
Co: 0.609 0.500 0.218

2.
SrCo3O | meta-GGA SCAN | single point on PBEsol structure

Computed properties:
As for the formation energy (no corrections): 2.583 eV per atom. The value obtained for the total magnetic moment is 4.9 μB/f.u. The theoretical density is 4.750 g/cm³.

Cell lengths 4.611, 4.611, 4.611 Å; angles 90.00, 90.00, 90.00 degrees
Fractional positions:
O: 0.500 0.500 0.500
Co: 0.500 0.000 0.000
Co: 0.000 0.000 0.500
Co: 0.000 0.500 0.000
Sr: 0.000 0.000 0.000

3.
Sr6Co5O15 | meta-GGA SCAN | single point on PBEsol structure

Computed properties:
As for the formation energy (no corrections): -2.234 eV per atom. The value obtained for the total magnetic moment is 3.0 μB/f.u. The theoretical density is 5.587 g/cm³.

Cell lengths 6.811, 6.811, 6.811 Å; angles 87.69, 87.69, 87.69 degrees
Fractional positions:
O: 0.156 0.844 0.000
O: 0.358 0.554 0.265
O: 0.000 0.156 0.844
O: 0.970 0.794 0.659
O: 0.265 0.358 0.554
O: 0.206 0.030 0.341
O: 0.794 0.659 0.970
O: 0.446 0.642 0.735
O: 0.030 0.341 0.206
O: 0.659 0.970 0.794
O: 0.735 0.446 0.642
O: 0.642 0.735 0.446
O: 0.844 0.000 0.156
O: 0.341 0.206 0.030
O: 0.554 0.265 0.358
Sr: 0.321 0.000 0.679
Sr: 0.141 0.500 0.859
Sr: 0.859 0.141 0.500
Sr: 0.000 0.679 0.321
Sr: 0.500 0.859 0.141
Sr: 0.679 0.321 0.000
Co: 0.097 0.097 0.097
Co: 0.294 0.294 0.294
Co: 0.500 0.500 0.500
Co: 0.903 0.903 0.903
Co: 0.706 0.706 0.706

4.
Sr2CoTeO6 | meta-GGA SCAN | single point on PBEsol structure

Computed properties:
As for the formation energy (no corrections): -2.157 eV per atom. The value obtained for the total magnetic moment is 3.0 μB/f.u. The theoretical density is 6.124 g/cm³.

Cell lengths 5.592, 5.616, 7.904 Å; angles 90.01, 90.00, 90.00 degrees
Fractional positions:
O: 0.008 0.442 0.255
O: 0.492 0.942 0.755
O: 0.271 0.283 0.531
O: 0.729 0.717 0.469
O: 0.218 0.770 0.470
O: 0.229 0.783 0.031
O: 0.782 0.230 0.530
O: 0.718 0.730 0.030
O: 0.992 0.558 0.745
O: 0.508 0.058 0.245
O: 0.771 0.217 0.969
O: 0.282 0.270 0.970
Sr: 0.979 0.996 0.251
Sr: 0.521 0.496 0.750
Sr: 0.479 0.504 0.250
Sr: 0.021 0.004 0.749
Co: 0.500 0.000 0.500
Co: 0.000 0.500 0.000
Te: 0.500 0.000 0.000
Te: 0.000 0.500 0.500

5.
Sr2YTlCo2O7 | meta-GGA SCAN | single point on PBEsol structure

Computed properties:
As for the formation energy (no corrections): -2.203 eV per atom. The value obtained for the total magnetic moment is 0.9 μB/f.u. The theoretical density is 6.958 g/cm³.

Cell lengths 3.725, 3.725, 12.013 Å; angles 90.00, 90.00, 90.00 degrees
Fractional positions:
O: 0.000 0.000 0.808
O: 0.000 0.500 0.380
O: 0.500 0.500 0.000
O: 0.000 0.500 0.620
O: 0.500 0.000 0.380
O: 0.500 0.000 0.620
O: 0.000 0.000 0.192
Tl: 0.000 0.000 0.000
Co: 0.000 0.000 0.362
Co: 0.000 0.000 0.638
Sr: 0.500 0.500 0.206
Sr: 0.500 0.500 0.794
Y: 0.500 0.500 0.500

6.
SrYCoO4 | meta-GGA SCAN | single point on PBEsol structure

Computed properties:
As for the formation energy (no corrections): -2.801 eV per atom. The value obtained for the total magnetic moment is 0.0 μB/f.u. The theoretical density is 6.111 g/cm³.

Cell lengths 6.492, 7.401, 8.276 Å; angles 63.44, 67.52, 73.44 degrees
Fractional positions:
O: 0.028 0.115 0.743
O: 0.031 0.374 0.242
O: 0.048 0.743 0.991
O: 0.031 0.868 0.242
O: 0.316 0.977 0.919
O: 0.036 0.999 0.483
O: 0.028 0.628 0.743
O: 0.009 0.250 0.995
O: 0.654 0.037 0.087
O: 0.316 0.703 0.423
O: 0.653 0.796 0.587
O: 0.021 0.494 0.502
O: 0.316 0.444 0.920
O: 0.654 0.291 0.586
O: 0.317 0.216 0.422
O: 0.653 0.549 0.087
Co: 0.985 0.504 0.004
Co: 0.984 0.753 0.504
Co: 0.984 0.251 0.503
Co: 0.985 0.999 0.004
Y: 0.274 0.096 0.170
Y: 0.275 0.585 0.195
Y: 0.274 0.845 0.675
Y: 0.272 0.338 0.686
Sr: 0.713 0.411 0.822
Sr: 0.714 0.660 0.322
Sr: 0.713 0.911 0.821
Sr: 0.714 0.161 0.321

7.
SrYCoO4 | meta-GGA SCAN | single point on PBEsol structure

Computed properties:
As for the formation energy (no corrections): -2.800 eV per atom. The value obtained for the total magnetic moment is 0.0 μB/f.u. The theoretical density is 6.119 g/cm³.

Cell lengths 3.698, 3.698, 6.493 Å; angles 106.55, 106.55, 90.00 degrees
Fractional positions:
O: 0.015 0.515 0.029
O: 0.827 0.827 0.653
O: 0.158 0.158 0.317
O: 0.515 0.015 0.029
Co: 0.992 0.992 0.985
Sr: 0.357 0.357 0.713
Y: 0.637 0.637 0.274

8.
SrYCoO4 | meta-GGA SCAN | single point on PBEsol structure

Computed properties:
As for the formation energy (no corrections): -2.801 eV per atom. The value obtained for the total magnetic moment is 0.0 μB/f.u. The theoretical density is 6.099 g/cm³.

Cell lengths 5.220, 5.267, 6.479 Å; angles 90.00, 113.75, 90.00 degrees
Fractional positions:
O: 0.827 0.012 0.653
O: 0.327 0.488 0.653
O: 0.272 0.250 0.045
O: 0.256 0.750 0.013
O: 0.772 0.250 0.045
O: 0.756 0.750 0.013
O: 0.158 0.970 0.317
O: 0.658 0.530 0.317
Co: 0.493 0.497 0.985
Co: 0.993 0.003 0.985
Y: 0.637 0.983 0.274
Y: 0.137 0.517 0.274
Sr: 0.357 0.002 0.713
Sr: 0.857 0.498 0.713

9.
Sr3YCo2O8 | meta-GGA SCAN | single point on PBEsol structure

Computed properties:
As for the formation energy (no corrections): -2.561 eV per atom. The value obtained for the total magnetic moment is 1.0 μB/f.u. The theoretical density is 5.892 g/cm³.

Cell lengths 5.270, 5.267, 6.615 Å; angles 113.46, 90.00, 90.00 degrees
Fractional positions:
O: 0.000 0.157 0.313
O: 0.500 0.675 0.351
O: 0.258 0.751 0.987
O: 0.742 0.751 0.987
O: 0.500 0.344 0.687
O: 0.258 0.236 0.987
O: 0.742 0.236 0.987
O: 0.000 0.840 0.679
Co: 0.500 0.502 0.005
Co: 0.000 0.001 0.002
Sr: 0.000 0.355 0.710
Sr: 0.000 0.642 0.284
Sr: 0.500 0.146 0.292
Y: 0.500 0.865 0.730

10.
Sr3ZnCoO6 | meta-GGA SCAN | single point on PBEsol structure

Computed properties:
As for the formation energy (no corrections): -2.350 eV per atom. The value obtained for the total magnetic moment is 1.0 μB/f.u. The theoretical density is 5.769 g/cm³.

Cell lengths 6.534, 6.534, 6.534 Å; angles 92.44, 92.44, 92.44 degrees
Fractional positions:
Co: 0.500 0.500 0.500
Co: 0.000 0.000 0.000
Sr: 0.250 0.885 0.615
Sr: 0.615 0.250 0.885
Sr: 0.115 0.385 0.750
Sr: 0.385 0.750 0.115
Sr: 0.750 0.115 0.385
Sr: 0.885 0.615 0.250
O: 0.225 0.542 0.412
O: 0.912 0.042 0.725
O: 0.775 0.458 0.588
O: 0.412 0.225 0.542
O: 0.542 0.412 0.225
O: 0.725 0.912 0.042
O: 0.958 0.275 0.088
O: 0.275 0.088 0.958
O: 0.042 0.725 0.912
O: 0.458 0.588 0.775
O: 0.588 0.775 0.458
O: 0.088 0.958 0.275
Zn: 0.250 0.250 0.250
Zn: 0.750 0.750 0.750

11.
Ta2CoO6 | meta-GGA SCAN | single point on PBEsol structure

Computed properties:
As for the formation energy (no corrections): -2.662 eV per atom. The value obtained for the total magnetic moment is 3.0 μB/f.u. The theoretical density is 8.452 g/cm³.

Cell lengths 4.754, 4.754, 8.987 Å; angles 90.00, 90.00, 90.00 degrees
Fractional positions:
O: 0.308 0.692 0.000
O: 0.795 0.795 0.827
O: 0.705 0.295 0.327
O: 0.795 0.795 0.173
O: 0.692 0.308 0.000
O: 0.205 0.205 0.173
O: 0.808 0.808 0.500
O: 0.205 0.205 0.827
O: 0.295 0.705 0.327
O: 0.192 0.192 0.500
O: 0.705 0.295 0.673
O: 0.295 0.705 0.673
Ta: 0.000 0.000 0.670
Ta: 0.500 0.500 0.170
Ta: 0.500 0.500 0.830
Ta: 0.000 0.000 0.330
Co: 0.000 0.000 0.000
Co: 0.500 0.500 0.500

12.
Ta2Zn2CoO8 | meta-GGA SCAN | single point on PBEsol structure

Computed properties:
As for the formation energy (no corrections): -2.326 eV per atom. The value obtained for the total magnetic moment is 3.0 μB/f.u. The theoretical density is 7.852 g/cm³.

Cell lengths 5.177, 5.870, 9.904 Å; angles 107.24, 90.19, 90.00 degrees
Fractional positions:
O: 0.562 0.277 0.357
O: 0.865 0.453 0.615
O: 0.419 0.948 0.135
O: 0.581 0.568 0.885
O: 0.081 0.813 0.865
O: 0.581 0.052 0.865
O: 0.938 0.920 0.643
O: 0.135 0.547 0.385
O: 0.919 0.683 0.115
O: 0.062 0.080 0.357
O: 0.635 0.838 0.385
O: 0.919 0.187 0.135
O: 0.365 0.162 0.615
O: 0.081 0.317 0.885
O: 0.438 0.723 0.643
O: 0.419 0.432 0.115
Zn: 0.237 0.435 0.561
Zn: 0.263 0.874 0.439
Zn: 0.763 0.565 0.439
Zn: 0.737 0.126 0.561
Ta: 0.759 0.957 0.227
Ta: 0.259 0.270 0.227
Ta: 0.741 0.730 0.773
Ta: 0.241 0.043 0.773
Co: 0.250 0.626 0.000
Co: 0.750 0.374 0.000

13.
Co2TcO4 | meta-GGA SCAN | single point on PBEsol structure

Computed properties:
As for the formation energy (no corrections): -1.303 eV per atom. The value obtained for the total magnetic moment is 6.0 μB/f.u. The theoretical density is 6.619 g/cm³.

Cell lengths 5.494, 5.890, 5.890 Å; angles 61.22, 62.20, 62.20 degrees
Fractional positions:
Tc: 0.000 0.500 0.000
Tc: 0.500 0.500 0.000
O: 0.246 0.735 0.235
O: 0.748 0.254 0.250
O: 0.754 0.265 0.765
O: 0.252 0.250 0.246
O: 0.216 0.265 0.765
O: 0.252 0.746 0.750
O: 0.748 0.750 0.754
O: 0.784 0.735 0.235
Co: 0.381 0.869 0.369
Co: 0.000 0.500 0.500
Co: 0.000 0.000 0.000
Co: 0.619 0.131 0.631

14.
Co2Te3O8 | meta-GGA SCAN | single point on PBEsol structure

Computed properties:
As for the formation energy (no corrections): -1.160 eV per atom. The value obtained for the total magnetic moment is 6.0 μB/f.u. The theoretical density is 5.833 g/cm³.

Cell lengths 5.128, 6.745, 11.310 Å; angles 97.76, 90.00, 112.34 degrees
Fractional positions:
O: 0.863 0.830 0.642
O: 0.253 0.223 0.631
O: 0.836 0.395 0.696
O: 0.970 0.223 0.131
O: 0.743 0.469 0.472
O: 0.257 0.531 0.528
O: 0.033 0.170 0.858
O: 0.274 0.531 0.028
O: 0.137 0.170 0.358
O: 0.559 0.395 0.196
O: 0.967 0.830 0.142
O: 0.441 0.605 0.804
O: 0.030 0.777 0.869
O: 0.747 0.777 0.369
O: 0.164 0.605 0.304
O: 0.726 0.469 0.972
Co: 0.571 0.533 0.649
Co: 0.038 0.467 0.851
Co: 0.962 0.533 0.149
Co: 0.429 0.467 0.351
Te: 0.818 0.000 0.250
Te: 0.182 0.000 0.750
Te: 0.328 0.262 0.050
Te: 0.672 0.738 0.950
Te: 0.066 0.738 0.450
Te: 0.934 0.262 0.550

15.
Co3TeO6 | meta-GGA SCAN | single point on PBEsol structure

Computed properties:
As for the formation energy (no corrections): -1.136 eV per atom. The value obtained for the total magnetic moment is 3.7 μB/f.u. The theoretical density is 6.431 g/cm³.

Cell lengths 8.266, 8.266, 10.059 Å; angles 85.55, 85.55, 65.03 degrees
Fractional positions:
O: 0.082 0.067 0.553
O: 0.933 0.918 0.947
O: 0.105 0.421 0.625
O: 0.918 0.933 0.447
O: 0.915 0.257 0.329
O: 0.400 0.752 0.079
O: 0.246 0.602 0.928
O: 0.569 0.588 0.321
O: 0.595 0.961 0.355
O: 0.114 0.748 0.159
O: 0.961 0.595 0.855
O: 0.602 0.246 0.428
O: 0.752 0.400 0.579
O: 0.895 0.579 0.375
O: 0.431 0.412 0.679
O: 0.886 0.252 0.841
O: 0.039 0.405 0.145
O: 0.412 0.431 0.179
O: 0.248 0.600 0.421
O: 0.706 0.773 0.639
O: 0.748 0.114 0.659
O: 0.600 0.248 0.921
O: 0.227 0.294 0.861
O: 0.085 0.743 0.671
O: 0.743 0.085 0.171
O: 0.257 0.915 0.829
O: 0.588 0.569 0.821
O: 0.405 0.039 0.645
O: 0.294 0.227 0.361
O: 0.421 0.105 0.125
O: 0.252 0.886 0.341
O: 0.773 0.706 0.139
O: 0.398 0.754 0.572
O: 0.067 0.082 0.053
O: 0.754 0.398 0.072
O: 0.579 0.895 0.875
Co: 0.512 0.191 0.261
Co: 0.562 0.866 0.065
Co: 0.844 0.172 0.493
Co: 0.438 0.134 0.935
Co: 0.624 0.023 0.538
Co: 0.376 0.977 0.462
Co: 0.977 0.376 0.962
Co: 0.134 0.438 0.435
Co: 0.156 0.828 0.507
Co: 0.191 0.512 0.761
Co: 0.809 0.488 0.239
Co: 0.488 0.809 0.739
Co: 0.828 0.156 0.007
Co: 0.172 0.844 0.993
Co: 0.333 0.667 0.250
Co: 0.667 0.333 0.750
Co: 0.866 0.562 0.565
Co: 0.023 0.624 0.038
Te: 0.849 0.854 0.775
Te: 0.854 0.849 0.275
Te: 0.500 0.500 0.500
Te: 0.500 0.500 0.000
Te: 0.151 0.146 0.225
Te: 0.146 0.151 0.725